1.
Compound: La2MgTa
Source: the Alexandria database
Functional: PBE
Structure: relaxed

Geometry as POSCAR:
```
La2MgTa
1.0
5.288 0.000 0.000
0.000 5.288 0.000
0.000 0.000 3.898
La Mg Ta
2 1 1
Direct
0.000 0.500 0.000
0.500 0.000 0.000
0.000 0.000 0.500
0.500 0.500 0.500
```

Symmetry = P4/mmm, No. 123
E = -5.451 eV per atom
Density of states at the Fermi level = 4.96 states/eV per cell
Calculated volume = 109.00 Å³/cell
Magnetic moment = 0.00 μB/f.u.
Formation enthalpy at 0 K = 0.375 eV per atom

***

2.
Compound: La2MgTa
Source: the Alexandria database
Functional: PBE
Structure: relaxed

Geometry as POSCAR:
```
La2MgTa
1.0
3.188 0.000 0.000
0.000 3.188 0.000
0.000 0.000 10.527
La Mg Ta
2 1 1
Direct
0.000 0.000 0.000
0.500 0.500 0.320
0.000 0.000 0.574
0.500 0.500 0.768
```

Symmetry = P4mm, No. 99
E = -5.505 eV per atom
Density of states at the Fermi level = 3.91 states/eV per cell
Calculated volume = 106.98 Å³/cell
Magnetic moment = 0.00 μB/f.u.
Formation enthalpy at 0 K = 0.321 eV per atom

***

3.
Compound: LaMg2Ta
Source: the Alexandria database
Functional: PBE
Structure: relaxed

Geometry as POSCAR:
```
LaMg2Ta
1.0
-1.589 2.814 5.341
1.589 -2.814 5.341
1.589 2.814 -5.341
La Mg Ta
1 2 1
Direct
0.000 0.000 0.000
0.277 0.777 0.500
0.518 0.518 0.000
0.752 0.252 0.500
```

Symmetry = Imm2, No. 44
E = -4.596 eV per atom
Density of states at the Fermi level = 3.52 states/eV per cell
Energy above the most stable polymorph in this dataset = 0.64 eV/f.u.
Calculated volume = 95.52 Å³/cell
Magnetic moment = 0.00 μB/f.u.
Formation enthalpy at 0 K = 0.396 eV per atom

***

4.
Compound: LaMgTa
Source: the Alexandria database
Functional: PBE
Structure: relaxed

Geometry as POSCAR:
```
LaMgTa
1.0
3.131 0.000 0.000
-1.566 2.712 0.000
0.000 0.000 8.447
La Mg Ta
1 1 1
Direct
0.000 0.000 0.000
0.333 0.667 0.377
0.667 0.333 0.669
```

Symmetry = P3m1, No. 156
E = -5.701 eV per atom
Density of states at the Fermi level = 3.03 states/eV per cell
Energy above the most stable polymorph in this dataset = 0.90 eV/f.u.
Calculated volume = 71.72 Å³/cell
Magnetic moment = 0.00 μB/f.u.
Formation enthalpy at 0 K = 0.424 eV per atom

***

5.
Compound: La2MgTa
Source: the Alexandria database
Functional: PBE
Structure: relaxed

Geometry as POSCAR:
```
La2MgTa
1.0
5.261 -1.592 0.000
5.261 1.592 0.000
-0.476 0.000 6.442
La Mg Ta
2 1 1
Direct
0.247 0.247 0.266
0.753 0.753 0.734
0.500 0.500 0.000
0.000 0.000 0.500
```

Symmetry = C2/m, No. 12
E = -5.352 eV per atom
Density of states at the Fermi level = 5.23 states/eV per cell
Calculated volume = 107.94 Å³/cell
Magnetic moment = 0.01 μB/f.u.
Formation enthalpy at 0 K = 0.473 eV per atom

***

6.
Compound: LaMg2Ta
Source: the Alexandria database
Functional: PBE
Structure: relaxed

Geometry as POSCAR:
```
LaMg2Ta
1.0
3.093 -4.783 0.000
3.093 4.783 0.000
0.000 0.000 3.113
La Mg Ta
1 2 1
Direct
0.000 0.000 0.000
0.000 0.500 0.500
0.500 0.000 0.500
0.500 0.500 0.000
```

Symmetry = Cmmm, No. 65
E = -4.622 eV per atom
Density of states at the Fermi level = 3.23 states/eV per cell
Energy above the most stable polymorph in this dataset = 0.53 eV/f.u.
Calculated volume = 92.09 Å³/cell
Magnetic moment = 0.00 μB/f.u.
Formation enthalpy at 0 K = 0.370 eV per atom

***

7.
Compound: La2MgTa
Source: the Alexandria database
Functional: PBE
Structure: relaxed

Geometry as POSCAR:
```
La2MgTa
1.0
1.670 0.964 11.245
-1.670 0.964 11.245
0.000 -1.928 11.245
La Mg Ta
2 1 1
Direct
0.000 0.000 0.000
0.233 0.233 0.233
0.478 0.478 0.478
0.741 0.741 0.741
```

Symmetry = R3m, No. 160
E = -5.414 eV per atom
Density of states at the Fermi level = 4.71 states/eV per cell
Calculated volume = 108.65 Å³/cell
Magnetic moment = 0.00 μB/f.u.
Formation enthalpy at 0 K = 0.411 eV per atom

***

8.
Compound: LaMg2Ta
Source: the Alexandria database
Functional: PBE
Structure: relaxed

Geometry as POSCAR:
```
LaMg2Ta
1.0
5.613 -1.573 0.000
5.613 1.573 0.000
-1.913 0.000 5.406
La Mg Ta
1 2 1
Direct
0.000 0.000 0.000
0.534 0.534 0.525
0.778 0.778 0.378
0.248 0.248 0.861
```

Symmetry = Cm, No. 8
E = -4.642 eV per atom
Density of states at the Fermi level = 4.10 states/eV per cell
Energy above the most stable polymorph in this dataset = 0.45 eV/f.u.
Calculated volume = 95.48 Å³/cell
Magnetic moment = 0.00 μB/f.u.
Formation enthalpy at 0 K = 0.350 eV per atom

***

9.
Compound: LaMgTa3
Source: the Alexandria database
Functional: PBE
Structure: relaxed

Geometry as POSCAR:
```
LaMgTa3
1.0
4.945 0.000 0.000
0.000 4.945 0.000
0.000 0.000 4.945
La Mg Ta
1 1 3
Direct
0.000 0.000 0.000
0.500 0.500 0.500
0.000 0.500 0.500
0.500 0.000 0.500
0.500 0.500 0.000
```

Symmetry = Pm-3m, No. 221
E = -6.771 eV per atom
Density of states at the Fermi level = 8.80 states/eV per cell
Energy above the most stable polymorph in this dataset = 0.00 eV/f.u.
Calculated volume = 120.93 Å³/cell
Magnetic moment = 0.98 μB/f.u.
Formation enthalpy at 0 K = 1.645 eV per atom

***

10.
Compound: La2MgTa
Source: the Alexandria database
Functional: PBE
Structure: relaxed

Geometry as POSCAR:
```
La2MgTa
1.0
3.358 0.000 0.000
0.000 4.165 0.000
0.000 0.000 7.693
La Mg Ta
2 1 1
Direct
0.000 0.000 0.000
0.500 0.500 0.320
0.000 0.000 0.577
0.500 0.500 0.749
```

Symmetry = Pmm2, No. 25
E = -5.451 eV per atom
Density of states at the Fermi level = 4.68 states/eV per cell
Calculated volume = 107.59 Å³/cell
Magnetic moment = 0.00 μB/f.u.
Formation enthalpy at 0 K = 0.374 eV per atom

***

11.
Compound: LaMg2Ta
Source: the Alexandria database
Functional: PBE
Structure: relaxed

Geometry as POSCAR:
```
LaMg2Ta
1.0
0.000 3.663 3.663
3.663 0.000 3.663
3.663 3.663 0.000
La Mg Ta
1 2 1
Direct
0.000 0.000 0.000
0.500 0.500 0.500
0.750 0.750 0.750
0.250 0.250 0.250
```

Symmetry = F-43m, No. 216
E = -4.459 eV per atom
Density of states at the Fermi level = 4.17 states/eV per cell
Energy above the most stable polymorph in this dataset = 1.18 eV/f.u.
Calculated volume = 98.31 Å³/cell
Magnetic moment = 2.73 μB/f.u.
Formation enthalpy at 0 K = 0.533 eV per atom

***

12.
Compound: LaMg2Ta
Source: the Alexandria database
Functional: PBE
Structure: relaxed

Geometry as POSCAR:
```
LaMg2Ta
1.0
3.020 -5.423 0.000
3.020 5.423 0.000
-0.815 0.000 2.871
La Mg Ta
1 2 1
Direct
0.000 0.000 0.000
0.000 0.500 0.500
0.500 0.000 0.500
0.500 0.500 0.000
```

Symmetry = C2/m, No. 12
E = -4.574 eV per atom
Density of states at the Fermi level = 4.30 states/eV per cell
Energy above the most stable polymorph in this dataset = 0.72 eV/f.u.
Calculated volume = 94.04 Å³/cell
Magnetic moment = 0.00 μB/f.u.
Formation enthalpy at 0 K = 0.418 eV per atom

***

Among the records above, which one has the highest E?
number 11

***

What is the formula in the eleventh record?
LaMg2Ta

***

calculated volume of number 12 (LaMg2Ta)?
94.04 Å³/cell

***

Which value of density of states at the Fermi level does entry 11 give?
4.17 states/eV per cell